Record 1
Crystalline Zr2Sc at its relaxed geometry, computed with PBE.

Values from the calculation:
uncorrected energy: -93.7 eV/cell
crystal system: monoclinic
DFT formation energy: -2 meV/atom
total magnetization: 0.00 μB/f.u.

```
data_Zr2Sc
_symmetry_space_group_name_H-M 'C 1 m 1'
_symmetry_Int_Tables_number 8
_symmetry_space_group_name_Hall 'C -2y'
_cell_length_a 11.780
_cell_length_b 3.191
_cell_length_c 8.756
_cell_angle_alpha 90.00
_cell_angle_beta 121.09
_cell_angle_gamma 90.00
loop_
_atom_site_label
_atom_site_fract_x
_atom_site_fract_y
_atom_site_fract_z
Zr1 0.000 0.000 0.000
Zr2 0.006 0.000 0.346
Zr3 0.233 0.500 0.310
Zr4 0.262 0.000 0.004
Sc1 0.245 0.500 0.665
Sc2 0.486 0.000 0.664
```

---

Record 2
Crystalline La2MnCd at its relaxed geometry, computed with PBE.

Values from the calculation:
uncorrected energy: -78.0 eV/cell
crystal system: cubic
DFT formation energy: 109 meV/atom
total magnetization: 2.85 μB/f.u.

```
data_La2MnCd
_symmetry_space_group_name_H-M 'F -4 3 m'
_symmetry_Int_Tables_number 216
_symmetry_space_group_name_Hall 'F -4 2 3'
_cell_length_a 7.377
_cell_length_b 7.377
_cell_length_c 7.377
_cell_angle_alpha 90.00
_cell_angle_beta 90.00
_cell_angle_gamma 90.00
loop_
_atom_site_label
_atom_site_fract_x
_atom_site_fract_y
_atom_site_fract_z
La1 0.000 0.000 0.000
La2 0.250 0.250 0.250
Mn1 0.000 0.000 0.500
Cd1 0.250 0.250 0.750
```

---

Record 3
Crystalline Tl2ZnRhAu at its relaxed geometry, computed with PBE.

Values from the calculation:
uncorrected energy: -15.8 eV/cell
crystal system: tetragonal
DFT formation energy: 175 meV/atom
total magnetization: 0.00 μB/f.u.

```
data_Tl2ZnRhAu
_symmetry_space_group_name_H-M 'P 4/m m m'
_symmetry_Int_Tables_number 123
_symmetry_space_group_name_Hall '-P 4 2'
_cell_length_a 5.240
_cell_length_b 5.240
_cell_length_c 4.806
_cell_angle_alpha 90.00
_cell_angle_beta 90.00
_cell_angle_gamma 90.00
loop_
_atom_site_label
_atom_site_fract_x
_atom_site_fract_y
_atom_site_fract_z
Tl1 0.000 0.500 0.000
Zn1 0.000 0.000 0.500
Rh1 0.000 0.000 0.000
Au1 0.500 0.500 0.500
```

---

Record 4
Crystalline Sm3Sc4Ge4 at its relaxed geometry, computed with PBE.

Values from the calculation:
uncorrected energy: -131.4 eV/cell
crystal system: orthorhombic
DFT formation energy: -705 meV/atom
total magnetization: 2.57 μB/f.u.

```
data_Sm3Sc4Ge4
_symmetry_space_group_name_H-M 'I m m m'
_symmetry_Int_Tables_number 71
_symmetry_space_group_name_Hall '-I 2 2'
_cell_length_a 4.048
_cell_length_b 8.502
_cell_length_c 15.149
_cell_angle_alpha 90.00
_cell_angle_beta 90.00
_cell_angle_gamma 90.00
loop_
_atom_site_label
_atom_site_fract_x
_atom_site_fract_y
_atom_site_fract_z
Sm1 0.000 0.000 0.000
Sm2 0.000 0.500 0.109
Sc1 0.000 0.307 0.327
Ge1 0.000 0.000 0.238
Ge2 0.000 0.218 0.500
```

---

Record 5
Crystalline Li2Ca2Ag at its relaxed geometry, computed with PBE.

Values from the calculation:
uncorrected energy: -21.8 eV/cell
crystal system: tetragonal
DFT formation energy: -43 meV/atom
energy above the most stable polymorph in this dataset: 0.0570 eV/atom
total magnetization: 0.00 μB/f.u.

```
data_Li2Ca2Ag
_symmetry_space_group_name_H-M 'P 4/m b m'
_symmetry_Int_Tables_number 127
_symmetry_space_group_name_Hall '-P 4 2ab'
_cell_length_a 7.285
_cell_length_b 7.285
_cell_length_c 4.960
_cell_angle_alpha 90.00
_cell_angle_beta 90.00
_cell_angle_gamma 90.00
loop_
_atom_site_label
_atom_site_fract_x
_atom_site_fract_y
_atom_site_fract_z
Li1 0.133 0.367 0.000
Ca1 0.185 0.685 0.500
Ag1 0.000 0.000 0.000
```

---

Record 6
Crystalline Nd4Tl2In at its relaxed geometry, computed with PBE.

Values from the calculation:
uncorrected energy: -55.6 eV/cell
crystal system: monoclinic
DFT formation energy: -178 meV/atom
energy above the most stable polymorph in this dataset: 0.1076 eV/atom
total magnetization: 0.00 μB/f.u.

```
data_Nd4Tl2In
_symmetry_space_group_name_H-M 'P 1 21/m 1'
_symmetry_Int_Tables_number 11
_symmetry_space_group_name_Hall '-P 2yb'
_cell_length_a 7.558
_cell_length_b 6.748
_cell_length_c 9.305
_cell_angle_alpha 90.00
_cell_angle_beta 108.57
_cell_angle_gamma 90.00
loop_
_atom_site_label
_atom_site_fract_x
_atom_site_fract_y
_atom_site_fract_z
Nd1 0.074 0.250 0.044
Nd2 0.171 0.006 0.722
Nd3 0.329 0.750 0.351
Tl1 0.211 0.250 0.435
Tl2 0.436 0.750 0.041
In1 0.485 0.250 0.279
```

---

Record 7
Crystalline Ce4SiGeSe2 at its relaxed geometry, computed with PBE.

Values from the calculation:
uncorrected energy: -50.7 eV/cell
crystal system: monoclinic
formation energy (no corrections): -9.97 eV per formula unit
total magnetization: 2.73 μB/f.u.

```
data_Ce4SiGeSe2
_symmetry_space_group_name_H-M 'P 1 2/m 1'
_symmetry_Int_Tables_number 10
_symmetry_space_group_name_Hall '-P 2y'
_cell_length_a 7.289
_cell_length_b 4.227
_cell_length_c 7.322
_cell_angle_alpha 90.00
_cell_angle_beta 109.56
_cell_angle_gamma 90.00
loop_
_atom_site_label
_atom_site_fract_x
_atom_site_fract_y
_atom_site_fract_z
Ce1 0.243 0.000 0.246
Ce2 0.245 0.500 0.750
Si1 0.000 0.500 0.000
Ge1 0.000 0.000 0.500
Se1 0.500 0.000 0.000
Se2 0.500 0.500 0.500
```

---

Record 8
Crystalline Cs3GeOs at its relaxed geometry, computed with PBE.

Values from the calculation:
uncorrected energy: -11.9 eV/cell
crystal system: cubic
DFT formation energy: 1300 meV/atom
total magnetization: 2.85 μB/f.u.

```
data_Cs3GeOs
_symmetry_space_group_name_H-M 'P m -3 m'
_symmetry_Int_Tables_number 221
_symmetry_space_group_name_Hall '-P 4 2 3'
_cell_length_a 6.047
_cell_length_b 6.047
_cell_length_c 6.047
_cell_angle_alpha 90.00
_cell_angle_beta 90.00
_cell_angle_gamma 90.00
loop_
_atom_site_label
_atom_site_fract_x
_atom_site_fract_y
_atom_site_fract_z
Cs1 0.000 0.000 0.500
Ge1 0.500 0.500 0.500
Os1 0.000 0.000 0.000
```

---

Record 9
Crystalline TiZnP2O7 at its relaxed geometry, computed with PBE.

Values from the calculation:
uncorrected energy: -154.3 eV/cell
crystal system: triclinic
formation energy (no corrections): -22.46 eV per formula unit
energy above the most stable polymorph in this dataset: 0.0133 eV/atom
total magnetization: 1.94 μB/f.u.

```
data_TiZnP2O7
_symmetry_space_group_name_H-M 'P -1'
_symmetry_Int_Tables_number 2
_symmetry_space_group_name_Hall '-P 1'
_cell_length_a 6.368
_cell_length_b 6.557
_cell_length_c 7.120
_cell_angle_alpha 81.38
_cell_angle_beta 81.17
_cell_angle_gamma 69.15
loop_
_atom_site_label
_atom_site_fract_x
_atom_site_fract_y
_atom_site_fract_z
Ti1 0.195 0.162 0.218
Zn1 0.438 0.634 0.682
P1 0.149 0.692 0.085
P2 0.281 0.182 0.654
O1 0.121 0.258 0.854
O2 0.124 0.184 0.513
O3 0.153 0.698 0.866
O4 0.227 0.859 0.147
O5 0.279 0.458 0.173
O6 0.400 0.356 0.593
O7 0.450 0.955 0.712
```

---

Record 10
Crystalline Li3CePb2 at its relaxed geometry, computed with PBE.

Values from the calculation:
uncorrected energy: -83.9 eV/cell
crystal system: monoclinic
DFT formation energy: -313 meV/atom
total magnetization: 0.74 μB/f.u.

```
data_Li3CePb2
_symmetry_space_group_name_H-M 'C 1 2/m 1'
_symmetry_Int_Tables_number 12
_symmetry_space_group_name_Hall '-C 2y'
_cell_length_a 16.273
_cell_length_b 4.688
_cell_length_c 8.427
_cell_angle_alpha 90.00
_cell_angle_beta 117.07
_cell_angle_gamma 90.00
loop_
_atom_site_label
_atom_site_fract_x
_atom_site_fract_y
_atom_site_fract_z
Li1 0.046 0.000 0.386
Li2 0.107 0.500 0.693
Li3 0.200 0.500 0.488
Ce1 0.140 0.000 0.052
Pb1 0.027 0.500 0.192
Pb2 0.206 0.000 0.732
```

---

Record 11
Crystalline Tb3Si4Ir7 at its relaxed geometry, computed with PBE.

Values from the calculation:
uncorrected energy: -221.9 eV/cell
crystal system: monoclinic
formation energy (no corrections): -13.35 eV per formula unit
total magnetization: 0.00 μB/f.u.

```
data_Tb3Si4Ir7
_symmetry_space_group_name_H-M 'C 1 2/m 1'
_symmetry_Int_Tables_number 12
_symmetry_space_group_name_Hall '-C 2y'
_cell_length_a 15.104
_cell_length_b 4.031
_cell_length_c 9.254
_cell_angle_alpha 90.00
_cell_angle_beta 124.60
_cell_angle_gamma 90.00
loop_
_atom_site_label
_atom_site_fract_x
_atom_site_fract_y
_atom_site_fract_z
Tb1 0.000 0.000 0.000
Tb2 0.174 0.500 0.671
Si1 0.114 0.000 0.834
Si2 0.167 0.500 0.280
Ir1 0.000 0.000 0.500
Ir2 0.005 0.500 0.275
Ir3 0.162 0.000 0.422
Ir4 0.194 0.500 0.045
```

---

Record 12
Crystalline TbPr3Zn at its relaxed geometry, computed with PBE.

Values from the calculation:
uncorrected energy: -41.6 eV/cell
crystal system: triclinic
DFT formation energy: -115 meV/atom
energy above the most stable polymorph in this dataset: 0.0000 eV/atom
total magnetization: 0.00 μB/f.u.

```
data_TbPr3Zn
_symmetry_space_group_name_H-M 'P -1'
_symmetry_Int_Tables_number 2
_symmetry_space_group_name_Hall '-P 1'
_cell_length_a 3.732
_cell_length_b 6.584
_cell_length_c 13.304
_cell_angle_alpha 93.68
_cell_angle_beta 90.04
_cell_angle_gamma 106.46
loop_
_atom_site_label
_atom_site_fract_x
_atom_site_fract_y
_atom_site_fract_z
Tb1 0.200 0.400 0.279
Pr1 0.071 0.142 0.814
Pr2 0.135 0.269 0.541
Pr3 0.363 0.724 0.945
Zn1 0.464 0.928 0.641
```

---

Record 13
Crystalline BaBiPdO4 at its relaxed geometry, computed with PBE.

Values from the calculation:
uncorrected energy: -77.2 eV/cell
crystal system: monoclinic
formation energy (no corrections): -7.75 eV per formula unit
total magnetization: 1.03 μB/f.u.

```
data_BaBiPdO4
_symmetry_space_group_name_H-M 'P 1 21/m 1'
_symmetry_Int_Tables_number 11
_symmetry_space_group_name_Hall '-P 2yb'
_cell_length_a 6.728
_cell_length_b 6.027
_cell_length_c 7.359
_cell_angle_alpha 90.00
_cell_angle_beta 114.16
_cell_angle_gamma 90.00
loop_
_atom_site_label
_atom_site_fract_x
_atom_site_fract_y
_atom_site_fract_z
Ba1 0.232 0.250 0.464
Bi1 0.337 0.250 0.016
Pd1 0.208 0.750 0.196
O1 0.030 0.250 0.704
O2 0.052 0.250 0.077
O3 0.451 0.520 0.243
```

---

Record 14
Crystalline PaMnRuPt at its relaxed geometry, computed with PBE.

Values from the calculation:
uncorrected energy: -141.3 eV/cell
crystal system: cubic
DFT formation energy: -337 meV/atom
total magnetization: 4.45 μB/f.u.

```
data_PaMnRuPt
_symmetry_space_group_name_H-M 'F -4 3 m'
_symmetry_Int_Tables_number 216
_symmetry_space_group_name_Hall 'F -4 2 3'
_cell_length_a 6.622
_cell_length_b 6.622
_cell_length_c 6.622
_cell_angle_alpha 90.00
_cell_angle_beta 90.00
_cell_angle_gamma 90.00
loop_
_atom_site_label
_atom_site_fract_x
_atom_site_fract_y
_atom_site_fract_z
Pa1 0.000 0.000 0.000
Mn1 0.000 0.000 0.500
Ru1 0.250 0.250 0.250
Pt1 0.250 0.250 0.750
```

---

Record 15
Crystalline In2HgPb2 at its relaxed geometry, computed with PBE.

Values from the calculation:
uncorrected energy: -13.0 eV/cell
crystal system: monoclinic
DFT formation energy: 30 meV/atom
energy above the most stable polymorph in this dataset: 0.0251 eV/atom
total magnetization: 0.00 μB/f.u.

```
data_In2HgPb2
_symmetry_space_group_name_H-M 'P 1 2/m 1'
_symmetry_Int_Tables_number 10
_symmetry_space_group_name_Hall '-P 2y'
_cell_length_a 5.246
_cell_length_b 3.252
_cell_length_c 8.745
_cell_angle_alpha 90.00
_cell_angle_beta 105.86
_cell_angle_gamma 90.00
loop_
_atom_site_label
_atom_site_fract_x
_atom_site_fract_y
_atom_site_fract_z
In1 0.196 0.000 0.392
Hg1 0.000 0.000 0.000
Pb1 0.388 0.500 0.792
```